Below is a relaxed structure of PuMg2Os, with properties calculated at the PBE level.

```
4
Lattice="2.883 0.000 0.000 1.441 2.496 0.000 1.441 0.832 10.724" Properties=species:S:1:pos:R:3 pbc="T T T"
Os 2.883 1.664 5.362
Pu 0.000 0.000 0.000
Mg 1.441 0.832 7.578
Mg 4.324 2.496 3.145
```

Final energy ... -6.8301 eV/atom
Total magnetization ... 4.8 Bohr magnetons per cell
Calculated density ... 10.4 g/cm3
N(E_F) ... 1.53 states/eV/atom
DFT formation energy ... 0.36 eV per atom